# Se2I8Br (GGA-PBE, optimized geometry)
# total DFT energy (no corrections) = -1.866 eV/atom
# raw formation energy = 0.047 eV/atom
data_Se2I8Br
_space_group_name_H-M_alt 'P -1'
_space_group_IT_number 2
_cell_length_a 7.530
_cell_length_b 8.928
_cell_length_c 9.335
_cell_angle_alpha 78.08
_cell_angle_beta 88.97
_cell_angle_gamma 84.89
loop_
_space_group_symop_operation_xyz
'x,y,z'
'-x,-y,-z'
loop_
_atom_site_label
_atom_site_type_symbol
_atom_site_fract_x
_atom_site_fract_y
_atom_site_fract_z
Se1 Se 0.101 0.463 0.255
I1 I 0.207 0.295 0.062
I2 I 0.212 0.292 0.514
I3 I 0.344 0.665 0.220
I4 I 0.353 0.111 0.820
Br1 Br 0.000 0.000 0.500

# TbEuCdNi (GGA-PBE, optimized geometry)
# total DFT energy (no corrections) = -5.554 eV/atom
data_TbEuCdNi
_space_group_name_H-M_alt 'F -4 3 m'
_space_group_IT_number 216
_space_group_name_Hall 'F -4 2 3'
_cell_length_a 7.297
_cell_length_b 7.297
_cell_length_c 7.297
_cell_angle_alpha 90.00
_cell_angle_beta 90.00
_cell_angle_gamma 90.00
loop_
_atom_site_label
_atom_site_type_symbol
_atom_site_fract_x
_atom_site_fract_y
_atom_site_fract_z
Tb1 Tb 0.000 0.000 0.000
Eu1 Eu 0.000 0.000 0.500
Cd1 Cd 0.250 0.250 0.250
Ni1 Ni 0.250 0.250 0.750

# Ga4NiPt7 (GGA-PBE, optimized geometry)
# total DFT energy (no corrections) = -5.313 eV/atom
data_Ga4NiPt7
_space_group_name_H-M_alt 'C 1 2/m 1'
_space_group_IT_number 12
_cell_length_a 11.448
_cell_length_b 4.611
_cell_length_c 9.105
_cell_angle_alpha 90.00
_cell_angle_beta 124.26
_cell_angle_gamma 90.00
loop_
_space_group_symop_operation_xyz
'x,y,z'
'-x,-y,-z'
'-x,y,-z'
'x,-y,z'
'x+1/2,y+1/2,z'
'-x+1/2,-y+1/2,-z'
'-x+1/2,y+1/2,-z'
'x+1/2,-y+1/2,z'
loop_
_atom_site_label
_atom_site_type_symbol
_atom_site_fract_x
_atom_site_fract_y
_atom_site_fract_z
Ga1 Ga 0.082 0.000 0.282
Ga2 Ga 0.226 0.000 0.833
Ni1 Ni 0.000 0.500 0.500
Pt1 Pt 0.000 0.000 0.500
Pt2 Pt 0.079 0.500 0.822
Pt3 Pt 0.137 0.000 0.047
Pt4 Pt 0.211 0.500 0.386

# Tb2CeB6 (GGA-PBE, optimized geometry)
# total DFT energy (no corrections) = -6.628 eV/atom
data_Tb2CeB6
_space_group_name_H-M_alt 'P 6/m m m'
_space_group_IT_number 191
_space_group_name_Hall '-P 6 2'
_cell_length_a 5.6684
_cell_length_b 5.6684
_cell_length_c 3.9809
_cell_angle_alpha 90.00
_cell_angle_beta 90.00
_cell_angle_gamma 120.00
loop_
_atom_site_label
_atom_site_type_symbol
_atom_site_fract_x
_atom_site_fract_y
_atom_site_fract_z
Tb1 Tb 0.3333 0.6667 0.0000
Ce1 Ce 0.0000 0.0000 0.0000
B1 B 0.0000 0.3334 0.5000